(1)
# KAlN3

A PBEsol-optimized structure of KAlN3 (SCAN, Alexandria via LeMat-Bulk).

Unit cell a=4.845 b=4.845 c=4.845 alpha=90.00 beta=90.00 gamma=90.00
Site moments in Bohr magnetons follow the coordinates.
Sites, in units of the cell vectors:
K1 0.000 0.000 0.000  0.13
Al1 0.500 0.500 0.500  0.03
N1 0.000 0.500 0.000  1.62
N2 0.000 0.000 0.500  1.62
N3 0.500 0.000 0.000  1.62

**Space group**: Pm-3m, No. 221
**Theoretical density**: 1.58 g/cm3

***

(2)
# ZnAs2Se

A PBEsol-optimized structure of ZnAs2Se (SCAN, Alexandria via LeMat-Bulk).

Unit cell a=2.726 b=3.726 c=7.563 alpha=90.00 beta=98.58 gamma=90.00
Sites, in units of the cell vectors:
As1 0.378 0.000 0.725
As2 0.622 0.000 0.275
Se1 0.500 0.500 0.000
Zn1 0.500 0.500 0.500

**Space group**: P2/m, No. 10
**Theoretical density**: 6.43 g/cm3
**Energy above the most stable polymorph in this dataset**: 0 meV per atom

***

Table of formation energy (no corrections) (eV/atom), in record order: 2.650, 0.155